Here is a relaxed structure of LiAc2ThTe5 from Alexandria. Energies are from PBE.

```
data_LiAc2ThTe5
_chemical_formula_sum 'Li2 Ac4 Th2 Te10'
_space_group_name_H-M_alt 'P 1'
_space_group_IT_number 1
_cell_length_a 9.9722
_cell_length_b 9.9722
_cell_length_c 13.6080
_cell_angle_alpha 90.00
_cell_angle_beta 90.00
_cell_angle_gamma 153.42
loop_
_space_group_symop_operation_xyz
'x,y,z'
loop_
_atom_site_label
_atom_site_type_symbol
_atom_site_fract_x
_atom_site_fract_y
_atom_site_fract_z
_atom_site_occupancy
Li1 Li 0.0556 0.9444 0.5000 1
Li2 Li 0.9444 0.0556 0.0000 1
Ac1 Ac 0.3730 0.6270 0.3515 1
Ac2 Ac 0.3908 0.6092 0.7341 1
Ac3 Ac 0.6092 0.3908 0.2341 1
Ac4 Ac 0.6270 0.3730 0.8515 1
Th1 Th 0.3028 0.6972 0.0560 1
Th2 Th 0.6972 0.3028 0.5560 1
Te1 Te 0.0034 0.9966 0.8218 1
Te2 Te 0.1395 0.8605 0.0475 1
Te3 Te 0.1876 0.8124 0.3940 1
Te4 Te 0.2124 0.7876 0.7161 1
Te5 Te 0.4543 0.5457 0.1042 1
Te6 Te 0.5457 0.4543 0.6042 1
Te7 Te 0.7876 0.2124 0.2161 1
Te8 Te 0.8124 0.1876 0.8940 1
Te9 Te 0.8605 0.1395 0.5475 1
Te10 Te 0.9966 0.0034 0.3218 1
```

Total magnetic moment   0.00 μB per formula unit
Space-group type   Cmc2_1, No. 36
Uncorrected formation energy   -1.3616 eV per atom